[1]
# LiHoGe2Se4, optimized geometry, DFT PBE-GGA
# Raw formation energy, eV per atom: -0.90
# Size of the total moment, μB per formula unit: 0.00
data_LiHoGe2Se4
_chemical_formula_sum 'Li1 Ho1 Ge2 Se4'
_symmetry_space_group_name_H-M 'P 1 2/m 1'
_symmetry_Int_Tables_number 10
_cell_length_a 6.899
_cell_length_b 4.037
_cell_length_c 7.035
_cell_angle_alpha 90.00
_cell_angle_beta 108.78
_cell_angle_gamma 90.00
loop_
_symmetry_equiv_pos_as_xyz
'x,y,z'
'-x,-y,-z'
'-x,y,-z'
'x,-y,z'
loop_
_atom_site_label
_atom_site_fract_x
_atom_site_fract_y
_atom_site_fract_z
Li1 0.000 0.000 0.000
Ho1 0.500 0.500 0.000
Ge1 0.000 0.500 0.500
Ge2 0.500 0.000 0.500
Se1 0.248 0.000 0.751
Se2 0.251 0.500 0.250

[2]
# SrSi2Os, optimized geometry, DFT PBE-GGA
# Fermi-level density of states, states/eV/cell: 5.6
# Raw formation energy, eV per atom: 0.00
# Size of the total moment, μB per formula unit: 0.00
data_SrSi2Os
_chemical_formula_sum 'Sr2 Si4 Os2'
_symmetry_space_group_name_H-M 'I m m 2'
_symmetry_Int_Tables_number 44
_cell_length_a 3.593
_cell_length_b 3.685
_cell_length_c 12.635
_cell_angle_alpha 90.00
_cell_angle_beta 90.00
_cell_angle_gamma 90.00
loop_
_symmetry_equiv_pos_as_xyz
'x,y,z'
'-x,-y,z'
'-x,y,z'
'x,-y,z'
'x+1/2,y+1/2,z+1/2'
'-x+1/2,-y+1/2,z+1/2'
'-x+1/2,y+1/2,z+1/2'
'x+1/2,-y+1/2,z+1/2'
loop_
_atom_site_label
_atom_site_fract_x
_atom_site_fract_y
_atom_site_fract_z
Sr1 0.000 0.000 0.000
Si1 0.000 0.000 0.361
Si2 0.000 0.500 0.226
Os1 0.000 0.500 0.737

[3]
# Ca2RhBr, optimized geometry, DFT PBE-GGA
# Fermi-level density of states, states/eV/cell: 0.0
# Raw formation energy, eV per atom: -0.63
# Size of the total moment, μB per formula unit: 0.00
data_Ca2RhBr
_chemical_formula_sum 'Ca8 Rh4 Br4'
_symmetry_space_group_name_H-M 'I -4 2 d'
_symmetry_Int_Tables_number 122
_symmetry_space_group_name_Hall 'I -4 2bw'
_cell_length_a 7.400
_cell_length_b 7.400
_cell_length_c 8.559
_cell_angle_alpha 90.00
_cell_angle_beta 90.00
_cell_angle_gamma 90.00
loop_
_atom_site_label
_atom_site_fract_x
_atom_site_fract_y
_atom_site_fract_z
Ca1 0.218 0.250 0.125
Rh1 0.000 0.000 0.000
Br1 0.000 0.000 0.500